Record 1
A relaxed CaMgSbTe2 crystal, computed with PBE-GGA.

Its uncorrected formation energy is 0.190 eV per atom. For the energy above the most stable polymorph in this dataset, the calculation gives 437 meV/atom. Its volume is 38.493 Å³/atom. The value obtained for the total magnetization is 0.0 μB/cell.

```
data_CaMgSbTe2
_chemical_formula_sum 'Ca1 Mg1 Sb1 Te2'
_cell_length_a 5.783
_cell_length_b 5.783
_cell_length_c 5.756
_cell_angle_alpha 90.00
_cell_angle_beta 90.00
_cell_angle_gamma 90.00
_space_group_name_H-M_alt 'P 1'
_space_group_IT_number 1
loop_
_space_group_symop_operation_xyz
'x,y,z'
loop_
_atom_site_label
_atom_site_type_symbol
_atom_site_fract_x
_atom_site_fract_y
_atom_site_fract_z
_atom_site_occupancy
Ca1 Ca 0.000 0.000 0.000 1
Mg1 Mg 0.500 0.500 0.500 1
Sb1 Sb 0.000 0.000 0.500 1
Te1 Te 0.000 0.500 0.000 1
Te2 Te 0.500 0.000 0.000 1
```


Record 2
A relaxed La4Al51W7 crystal, computed with PBE-GGA.

The energy of formation from the pure elements is -213 meV/atom. Its volume is 17.909 Å³/atom. The value obtained for the total magnetization is 0.0 μB/cell.

```
data_La4Al51W7
_chemical_formula_sum 'La4 Al51 W7'
_cell_length_a 10.446
_cell_length_b 10.446
_cell_length_c 11.751
_cell_angle_alpha 90.00
_cell_angle_beta 90.00
_cell_angle_gamma 120.00
_space_group_name_H-M_alt 'P 1'
_space_group_IT_number 1
loop_
_space_group_symop_operation_xyz
'x,y,z'
loop_
_atom_site_label
_atom_site_type_symbol
_atom_site_fract_x
_atom_site_fract_y
_atom_site_fract_z
_atom_site_occupancy
La1 La 0.333 0.667 0.094 1
La2 La 0.333 0.667 0.421 1
La3 La 0.667 0.333 0.579 1
La4 La 0.667 0.333 0.906 1
Al1 Al 0.000 0.368 0.500 1
Al2 Al 0.000 0.500 0.000 1
Al3 Al 0.000 0.632 0.500 1
Al4 Al 0.071 0.401 0.245 1
Al5 Al 0.071 0.670 0.245 1
Al6 Al 0.092 0.183 0.831 1
Al7 Al 0.092 0.908 0.831 1
Al8 Al 0.093 0.187 0.402 1
Al9 Al 0.093 0.907 0.402 1
Al10 Al 0.155 0.578 0.657 1
Al11 Al 0.156 0.312 0.045 1
Al12 Al 0.156 0.844 0.045 1
Al13 Al 0.183 0.092 0.169 1
Al14 Al 0.187 0.093 0.598 1
Al15 Al 0.243 0.485 0.859 1
Al16 Al 0.243 0.757 0.859 1
Al17 Al 0.312 0.156 0.955 1
Al18 Al 0.330 0.401 0.245 1
Al19 Al 0.330 0.929 0.245 1
Al20 Al 0.368 0.000 0.500 1
Al21 Al 0.368 0.368 0.500 1
Al22 Al 0.401 0.071 0.755 1
Al23 Al 0.401 0.330 0.755 1
Al24 Al 0.422 0.578 0.657 1
Al25 Al 0.422 0.845 0.657 1
Al26 Al 0.485 0.243 0.141 1
Al27 Al 0.500 0.000 0.000 1
Al28 Al 0.500 0.500 0.000 1
Al29 Al 0.515 0.757 0.859 1
Al30 Al 0.578 0.155 0.343 1
Al31 Al 0.578 0.422 0.343 1
Al32 Al 0.599 0.670 0.245 1
Al33 Al 0.599 0.929 0.245 1
Al34 Al 0.632 0.000 0.500 1
Al35 Al 0.632 0.632 0.500 1
Al36 Al 0.670 0.071 0.755 1
Al37 Al 0.670 0.599 0.755 1
Al38 Al 0.688 0.844 0.045 1
Al39 Al 0.757 0.243 0.141 1
Al40 Al 0.757 0.515 0.141 1
Al41 Al 0.813 0.907 0.402 1
Al42 Al 0.817 0.908 0.831 1
Al43 Al 0.844 0.156 0.955 1
Al44 Al 0.844 0.688 0.955 1
Al45 Al 0.845 0.422 0.343 1
Al46 Al 0.907 0.093 0.598 1
Al47 Al 0.907 0.813 0.598 1
Al48 Al 0.908 0.092 0.169 1
Al49 Al 0.908 0.817 0.169 1
Al50 Al 0.929 0.330 0.755 1
Al51 Al 0.929 0.599 0.755 1
W1 W 0.000 0.000 0.000 1
W2 W 0.169 0.337 0.655 1
W3 W 0.169 0.831 0.655 1
W4 W 0.337 0.169 0.345 1
W5 W 0.663 0.831 0.655 1
W6 W 0.831 0.169 0.345 1
W7 W 0.831 0.663 0.345 1
```


Record 3
A relaxed Ce2Al4Pd3Au crystal, computed with PBE-GGA.

The energy of formation from the pure elements is -769 meV/atom. Its volume is 19.519 Å³/atom. The value obtained for the total magnetization is 1.4 μB/cell.

```
data_Ce2Al4Pd3Au
_chemical_formula_sum 'Ce2 Al4 Pd3 Au1'
_cell_length_a 4.319
_cell_length_b 4.319
_cell_length_c 10.462
_cell_angle_alpha 90.00
_cell_angle_beta 90.00
_cell_angle_gamma 90.00
_space_group_name_H-M_alt 'P 1'
_space_group_IT_number 1
loop_
_space_group_symop_operation_xyz
'x,y,z'
loop_
_atom_site_label
_atom_site_type_symbol
_atom_site_fract_x
_atom_site_fract_y
_atom_site_fract_z
_atom_site_occupancy
Ce1 Ce 0.000 0.500 0.245 1
Ce2 Ce 0.500 0.000 0.755 1
Al1 Al 0.000 0.000 0.000 1
Al2 Al 0.000 0.500 0.632 1
Al3 Al 0.500 0.000 0.368 1
Al4 Al 0.500 0.500 0.000 1
Pd1 Pd 0.000 0.500 0.869 1
Pd2 Pd 0.500 0.000 0.131 1
Pd3 Pd 0.500 0.500 0.500 1
Au1 Au 0.000 0.000 0.500 1
```


Record 4
A relaxed TaCl5 crystal, computed with PBE-GGA.

Its uncorrected formation energy is 0.001 eV per atom. For the energy above the most stable polymorph in this dataset, the calculation gives 1347 meV/atom. Its volume is 24.288 Å³/atom. The value obtained for the total magnetization is 0.0 μB/cell.

```
data_TaCl5
_chemical_formula_sum 'Ta1 Cl5'
_cell_length_a 2.955
_cell_length_b 2.955
_cell_length_c 16.685
_cell_angle_alpha 90.00
_cell_angle_beta 90.00
_cell_angle_gamma 90.00
_space_group_name_H-M_alt 'P 1'
_space_group_IT_number 1
loop_
_space_group_symop_operation_xyz
'x,y,z'
loop_
_atom_site_label
_atom_site_type_symbol
_atom_site_fract_x
_atom_site_fract_y
_atom_site_fract_z
_atom_site_occupancy
Ta1 Ta 0.000 0.000 0.000 1
Cl1 Cl 0.000 0.000 0.258 1
Cl2 Cl 0.000 0.000 0.742 1
Cl3 Cl 0.500 0.500 0.093 1
Cl4 Cl 0.500 0.500 0.500 1
Cl5 Cl 0.500 0.500 0.907 1
```


Record 5
A relaxed AlCuGe2S6 crystal, computed with PBE-GGA.

Its uncorrected formation energy is -0.435 eV per atom. Its volume is 23.059 Å³/atom. The value obtained for the total magnetization is 0.0 μB/cell.

```
data_AlCuGe2S6
_chemical_formula_sum 'Al2 Cu2 Ge4 S12'
_cell_length_a 9.114
_cell_length_b 9.114
_cell_length_c 6.162
_cell_angle_alpha 107.31
_cell_angle_beta 107.31
_cell_angle_gamma 92.80
_space_group_name_H-M_alt 'P 1'
_space_group_IT_number 1
loop_
_space_group_symop_operation_xyz
'x,y,z'
loop_
_atom_site_label
_atom_site_type_symbol
_atom_site_fract_x
_atom_site_fract_y
_atom_site_fract_z
_atom_site_occupancy
Al1 Al 0.198 0.802 0.750 1
Al2 Al 0.802 0.198 0.250 1
Cu1 Cu 0.218 0.782 0.250 1
Cu2 Cu 0.782 0.218 0.750 1
Ge1 Ge 0.204 0.369 0.693 1
Ge2 Ge 0.369 0.204 0.193 1
Ge3 Ge 0.631 0.796 0.807 1
Ge4 Ge 0.796 0.631 0.307 1
S1 S 0.008 0.809 0.412 1
S2 S 0.140 0.602 0.873 1
S3 S 0.191 0.992 0.088 1
S4 S 0.289 0.412 0.407 1
S5 S 0.398 0.860 0.627 1
S6 S 0.412 0.289 0.907 1
S7 S 0.588 0.711 0.093 1
S8 S 0.602 0.140 0.373 1
S9 S 0.711 0.588 0.593 1
S10 S 0.809 0.008 0.912 1
S11 S 0.860 0.398 0.127 1
S12 S 0.992 0.191 0.588 1
```


Record 6
A relaxed Tl2Sn2I crystal, computed with PBE-GGA.

Its uncorrected formation energy is -0.003 eV per atom. For the energy above the most stable polymorph in this dataset, the calculation gives 99 meV/atom. Its volume is 32.625 Å³/atom. The value obtained for the total magnetization is 0.0 μB/cell.

```
data_Tl2Sn2I
_chemical_formula_sum 'Tl4 Sn4 I2'
_cell_length_a 8.945
_cell_length_b 8.945
_cell_length_c 4.078
_cell_angle_alpha 90.00
_cell_angle_beta 90.00
_cell_angle_gamma 90.00
_space_group_name_H-M_alt 'P 1'
_space_group_IT_number 1
loop_
_space_group_symop_operation_xyz
'x,y,z'
loop_
_atom_site_label
_atom_site_type_symbol
_atom_site_fract_x
_atom_site_fract_y
_atom_site_fract_z
_atom_site_occupancy
Tl1 Tl 0.183 0.317 0.000 1
Tl2 Tl 0.317 0.817 0.000 1
Tl3 Tl 0.683 0.183 0.000 1
Tl4 Tl 0.817 0.683 0.000 1
Sn1 Sn 0.120 0.620 0.500 1
Sn2 Sn 0.380 0.120 0.500 1
Sn3 Sn 0.620 0.880 0.500 1
Sn4 Sn 0.880 0.380 0.500 1
I1 I 0.000 0.000 0.500 1
I2 I 0.500 0.500 0.500 1
```